(1)
# ZrAl3Ir GGA-PBEsol relaxed
# energy of formation	44	meV per atom
# crystal system	cubic
# total DFT energy (no corrections)	-6.194	eV/atom
data_ZrAl3Ir
_chemical_formula_sum 'Zr1 Al3 Ir1'
_symmetry_space_group_name_H-M 'P m -3 m'
_symmetry_Int_Tables_number 221
_symmetry_space_group_name_Hall '-P 4 2 3'
_cell_length_a 4.624
_cell_length_b 4.624
_cell_length_c 4.624
_cell_angle_alpha 90.00
_cell_angle_beta 90.00
_cell_angle_gamma 90.00
loop_
_atom_site_label
_atom_site_fract_x
_atom_site_fract_y
_atom_site_fract_z
_atom_site_occupancy
Zr1 0.000 0.000 0.000 1
Al1 0.000 0.500 0.500 1
Ir1 0.500 0.500 0.500 1

(2)
# Sc2CdC GGA-PBEsol relaxed
# energy of formation	892	meV per atom
# crystal system	trigonal
# total DFT energy (no corrections)	-5.120	eV/atom
data_Sc2CdC
_chemical_formula_sum 'Sc6 Cd3 C3'
_symmetry_space_group_name_H-M 'R -3 m'
_symmetry_Int_Tables_number 166
_symmetry_space_group_name_Hall '-R 3 2"'
_cell_length_a 3.2849
_cell_length_b 3.2849
_cell_length_c 26.9463
_cell_angle_alpha 90.00
_cell_angle_beta 90.00
_cell_angle_gamma 120.00
loop_
_atom_site_label
_atom_site_fract_x
_atom_site_fract_y
_atom_site_fract_z
_atom_site_occupancy
Sc1 0.0000 0.0000 0.0778 1
Cd1 0.0000 0.0000 0.5000 1
C1 0.0000 0.0000 0.0000 1

(3)
# Y2MgIn GGA-PBEsol relaxed
# energy of formation	-370	meV per atom
# crystal system	orthorhombic
# total DFT energy (no corrections)	-4.956	eV/atom
data_Y2MgIn
_chemical_formula_sum 'Y4 Mg2 In2'
_symmetry_space_group_name_H-M 'C m m m'
_symmetry_Int_Tables_number 65
_symmetry_space_group_name_Hall '-C 2 2'
_cell_length_a 7.335
_cell_length_b 7.348
_cell_length_c 3.818
_cell_angle_alpha 90.00
_cell_angle_beta 90.00
_cell_angle_gamma 90.00
loop_
_atom_site_label
_atom_site_fract_x
_atom_site_fract_y
_atom_site_fract_z
_atom_site_occupancy
Y1 0.250 0.250 0.000 1
Mg1 0.000 0.000 0.500 1
In1 0.000 0.500 0.500 1

(4)
# Mg2ZnSnCl GGA-PBEsol relaxed
# energy relative to the elements, uncorrected	0.23	eV per atom
# crystal system	tetragonal
# total DFT energy (no corrections)	-2.031	eV/atom
data_Mg2ZnSnCl
_chemical_formula_sum 'Mg2 Zn1 Sn1 Cl1'
_symmetry_space_group_name_H-M 'P 4/m m m'
_symmetry_Int_Tables_number 123
_symmetry_space_group_name_Hall '-P 4 2'
_cell_length_a 5.021
_cell_length_b 5.021
_cell_length_c 5.187
_cell_angle_alpha 90.00
_cell_angle_beta 90.00
_cell_angle_gamma 90.00
loop_
_atom_site_label
_atom_site_fract_x
_atom_site_fract_y
_atom_site_fract_z
_atom_site_occupancy
Mg1 0.000 0.500 0.000 1
Zn1 0.000 0.000 0.000 1
Sn1 0.500 0.500 0.500 1
Cl1 0.000 0.000 0.500 1

(5)
# SrCdRe2 GGA-PBEsol relaxed
# energy of formation	1145	meV per atom
# crystal system	tetragonal
# total DFT energy (no corrections)	-6.280	eV/atom
data_SrCdRe2
_chemical_formula_sum 'Sr1 Cd1 Re2'
_symmetry_space_group_name_H-M 'P 4/m m m'
_symmetry_Int_Tables_number 123
_symmetry_space_group_name_Hall '-P 4 2'
_cell_length_a 3.967
_cell_length_b 3.967
_cell_length_c 4.843
_cell_angle_alpha 90.00
_cell_angle_beta 90.00
_cell_angle_gamma 90.00
loop_
_atom_site_label
_atom_site_fract_x
_atom_site_fract_y
_atom_site_fract_z
_atom_site_occupancy
Sr1 0.000 0.000 0.000 1
Cd1 0.500 0.500 0.000 1
Re1 0.000 0.500 0.500 1

(6)
# CdP14Pb GGA-PBEsol relaxed
# energy of formation	62	meV per atom
# crystal system	orthorhombic
# total DFT energy (no corrections)	-5.331	eV/atom
data_CdP14Pb
_chemical_formula_sum 'Cd4 P56 Pb4'
_symmetry_space_group_name_H-M 'P n m a'
_symmetry_Int_Tables_number 62
_cell_length_a 13.887
_cell_length_b 9.766
_cell_length_c 10.501
_cell_angle_alpha 90.00
_cell_angle_beta 90.00
_cell_angle_gamma 90.00
loop_
_symmetry_equiv_pos_as_xyz
'x,y,z'
'-x,-y,-z'
'-x+1/2,-y,z+1/2'
'x+1/2,y,-z+1/2'
'x+1/2,-y+1/2,-z+1/2'
'-x+1/2,y+1/2,z+1/2'
'-x,y+1/2,-z'
'x,-y+1/2,z'
loop_
_atom_site_label
_atom_site_fract_x
_atom_site_fract_y
_atom_site_fract_z
_atom_site_occupancy
Cd1 0.088 0.250 0.085 1
P1 0.051 0.086 0.413 1
P2 0.054 0.080 0.844 1
P3 0.066 0.750 0.405 1
P4 0.070 0.250 0.708 1
P5 0.085 0.750 0.830 1
P6 0.094 0.576 0.697 1
P7 0.101 0.541 0.129 1
P8 0.135 0.250 0.325 1
P9 0.146 0.572 0.326 1
Pb1 0.221 0.750 0.031 1

(7)
# In2OsW GGA-PBEsol relaxed
# distance to the lowest polymorph of the same formula	17.31	kJ/mol of atoms
# energy of formation	700	meV per atom
# crystal system	orthorhombic
# total DFT energy (no corrections)	-7.298	eV/atom
data_In2OsW
_chemical_formula_sum 'In4 Os2 W2'
_symmetry_space_group_name_H-M 'C m m m'
_symmetry_Int_Tables_number 65
_symmetry_space_group_name_Hall '-C 2 2'
_cell_length_a 3.064
_cell_length_b 4.927
_cell_length_c 9.228
_cell_angle_alpha 90.00
_cell_angle_beta 90.00
_cell_angle_gamma 90.00
loop_
_atom_site_label
_atom_site_fract_x
_atom_site_fract_y
_atom_site_fract_z
_atom_site_occupancy
In1 0.000 0.000 0.242 1
Os1 0.000 0.500 0.000 1
W1 0.000 0.500 0.500 1

(8)
# TaSbPb4 GGA-PBEsol relaxed
# energy relative to the elements, uncorrected	0.84	eV per atom
# crystal system	cubic
# total DFT energy (no corrections)	-4.673	eV/atom
data_TaSbPb4
_chemical_formula_sum 'Ta4 Sb4 Pb16'
_symmetry_space_group_name_H-M 'F -4 3 m'
_symmetry_Int_Tables_number 216
_symmetry_space_group_name_Hall 'F -4 2 3'
_cell_length_a 8.699
_cell_length_b 8.699
_cell_length_c 8.699
_cell_angle_alpha 90.00
_cell_angle_beta 90.00
_cell_angle_gamma 90.00
loop_
_atom_site_label
_atom_site_fract_x
_atom_site_fract_y
_atom_site_fract_z
_atom_site_occupancy
Ta1 0.000 0.000 0.000 1
Sb1 0.250 0.250 0.250 1
Pb1 0.125 0.125 0.625 1

(9)
# Tl5Cd GGA-PBEsol relaxed
# distance to the lowest polymorph of the same formula	0.09	kJ/mol of atoms
# energy of formation	30	meV per atom
# crystal system	tetragonal
# total DFT energy (no corrections)	-2.361	eV/atom
data_Tl5Cd
_chemical_formula_sum 'Tl5 Cd1'
_symmetry_space_group_name_H-M 'P 4/m m m'
_symmetry_Int_Tables_number 123
_symmetry_space_group_name_Hall '-P 4 2'
_cell_length_a 3.351
_cell_length_b 3.351
_cell_length_c 14.357
_cell_angle_alpha 90.00
_cell_angle_beta 90.00
_cell_angle_gamma 90.00
loop_
_atom_site_label
_atom_site_fract_x
_atom_site_fract_y
_atom_site_fract_z
_atom_site_occupancy
Tl1 0.000 0.000 0.000 1
Tl2 0.000 0.000 0.348 1
Tl3 0.500 0.500 0.174 1
Cd1 0.500 0.500 0.500 1

(10)
# LaFeP2O GGA-PBEsol relaxed
# energy relative to the elements, uncorrected	-0.81	eV per atom
# crystal system	tetragonal
# total DFT energy (no corrections)	-7.042	eV/atom
data_LaFeP2O
_chemical_formula_sum 'La1 Fe1 P2 O1'
_symmetry_space_group_name_H-M 'P 4/m m m'
_symmetry_Int_Tables_number 123
_symmetry_space_group_name_Hall '-P 4 2'
_cell_length_a 4.636
_cell_length_b 4.636
_cell_length_c 3.762
_cell_angle_alpha 90.00
_cell_angle_beta 90.00
_cell_angle_gamma 90.00
loop_
_atom_site_label
_atom_site_fract_x
_atom_site_fract_y
_atom_site_fract_z
_atom_site_occupancy
La1 0.000 0.000 0.000 1
Fe1 0.500 0.500 0.500 1
P1 0.000 0.500 0.500 1
O1 0.500 0.500 0.000 1

(11)
# Tl2SiN GGA-PBEsol relaxed
# energy relative to the elements, uncorrected	0.81	eV per atom
# crystal system	tetragonal
# total DFT energy (no corrections)	-4.073	eV/atom
data_Tl2SiN
_chemical_formula_sum 'Tl8 Si4 N4'
_symmetry_space_group_name_H-M 'I -4 2 d'
_symmetry_Int_Tables_number 122
_symmetry_space_group_name_Hall 'I -4 2bw'
_cell_length_a 5.786
_cell_length_b 5.786
_cell_length_c 10.738
_cell_angle_alpha 90.00
_cell_angle_beta 90.00
_cell_angle_gamma 90.00
loop_
_atom_site_label
_atom_site_fract_x
_atom_site_fract_y
_atom_site_fract_z
_atom_site_occupancy
Tl1 0.196 0.250 0.125 1
Si1 0.000 0.000 0.500 1
N1 0.000 0.000 0.000 1

(12)
# NiHN2 GGA-PBEsol relaxed
# crystal system	trigonal
# total DFT energy (no corrections)	-5.095	eV/atom
data_NiHN2
_chemical_formula_sum 'Ni3 H3 N6'
_symmetry_space_group_name_H-M 'R -3 m'
_symmetry_Int_Tables_number 166
_symmetry_space_group_name_Hall '-R 3 2"'
_cell_length_a 2.7341
_cell_length_b 2.7341
_cell_length_c 13.6803
_cell_angle_alpha 90.00
_cell_angle_beta 90.00
_cell_angle_gamma 120.00
loop_
_atom_site_label
_atom_site_fract_x
_atom_site_fract_y
_atom_site_fract_z
_atom_site_occupancy
Ni1 0.0000 0.0000 0.0000 1
H1 0.0000 0.0000 0.5000 1
N1 0.0000 0.0000 0.1288 1